VASP calculation (GGA-PBE) on crystalline La2Tb5Sm12 at its relaxed geometry.

Structure (POSCAR):
```
La2Tb5Sm12
1.0
10.076 0.000 0.000
-5.038 8.117 -0.385
0.000 0.375 7.945
La Tb Sm
2 5 12
direct
0.789 0.000 0.000
0.211 0.000 0.000
0.248 0.496 0.509
0.354 0.708 0.081
0.000 0.000 0.500
0.646 0.292 0.919
0.752 0.504 0.491
0.836 0.672 0.124
0.038 0.612 0.794
0.573 0.612 0.794
0.168 0.788 0.390
0.620 0.788 0.390
0.449 0.898 0.710
0.551 0.102 0.290
0.832 0.212 0.610
0.380 0.212 0.610
0.962 0.388 0.206
0.427 0.388 0.206
0.164 0.328 0.876
```

## Properties
* DFT total energy: -4.596 eV/atom
* size of the total moment: 0.00 μB/f.u.
* relative energy among the computed polymorphs: 0 meV/atom
* D(E_F): 25.5 states/eV per cell

VASP calculation (GGA-PBE) on crystalline LaTb3Sm4 at its relaxed geometry.

Structure (POSCAR):
```
LaTb3Sm4
1.0
6.356 0.000 0.000
0.000 7.356 0.000
0.000 0.000 11.621
La Tb Sm
2 6 8
direct
0.146 0.375 0.000
0.646 0.625 0.500
0.648 0.625 0.000
0.981 0.624 0.251
0.481 0.376 0.249
0.148 0.375 0.500
0.481 0.376 0.751
0.981 0.624 0.749
0.146 0.874 0.000
0.650 0.125 0.000
0.982 0.125 0.253
0.482 0.875 0.247
0.150 0.875 0.500
0.646 0.126 0.500
0.482 0.875 0.753
0.982 0.125 0.747
```

## Properties
* DFT total energy: -4.682 eV/atom
* size of the total moment: 0.00 μB/f.u.
* relative energy among the computed polymorphs: 0 meV/atom
* D(E_F): 28.3 states/eV per cell

VASP calculation (GGA-PBE) on crystalline LaTb4Sm at its relaxed geometry.

Structure (POSCAR):
```
LaTb4Sm
1.0
5.688 -0.984 0.000
-3.958 10.579 0.000
0.000 0.000 7.068
La Tb Sm
2 8 2
direct
0.703 0.420 0.750
0.297 0.580 0.250
0.362 0.584 0.750
0.638 0.416 0.250
0.305 0.081 0.750
0.695 0.919 0.250
0.004 0.756 0.998
0.996 0.244 0.498
0.004 0.756 0.502
0.996 0.244 0.002
0.641 0.917 0.750
0.359 0.083 0.250
```

## Properties
* DFT total energy: -4.630 eV/atom
* size of the total moment: 0.00 μB/f.u.
* relative energy among the computed polymorphs: 41 meV/atom
* D(E_F): 18.1 states/eV per cell

VASP calculation (GGA-PBE) on crystalline LaTb6Sm at its relaxed geometry.

Structure (POSCAR):
```
LaTb6Sm
1.0
5.083 0.000 0.000
0.000 5.083 0.000
0.000 0.000 10.169
La Tb Sm
1 6 1
direct
0.000 0.000 0.000
0.500 0.500 0.000
0.500 0.500 0.500
0.500 0.000 0.253
0.500 0.000 0.747
0.000 0.500 0.253
0.000 0.500 0.747
0.000 0.000 0.500
```

## Properties
* DFT total energy: -4.656 eV/atom
* size of the total moment: 0.00 μB/f.u.
* relative energy among the computed polymorphs: 0 meV/atom
* D(E_F): 12.5 states/eV per cell

VASP calculation (GGA-PBE) on crystalline La5Tb5Sm at its relaxed geometry.

Structure (POSCAR):
```
La5Tb5Sm
1.0
-0.628 -2.689 5.599
3.051 -2.971 -4.565
10.104 4.968 3.519
La Tb Sm
5 5 1
direct
0.667 0.333 0.150
0.667 0.333 0.850
0.333 0.667 0.318
0.333 0.667 0.682
0.000 0.000 0.000
0.333 0.166 0.500
0.000 0.000 0.264
0.834 0.667 0.500
0.834 0.166 0.500
0.000 0.000 0.736
0.333 0.667 0.000
```

## Properties
* DFT total energy: -4.514 eV/atom
* size of the total moment: 0.00 μB/f.u.
* D(E_F): 21.6 states/eV per cell

VASP calculation (GGA-PBE) on crystalline La3Tb2Sm at its relaxed geometry.

Structure (POSCAR):
```
La3Tb2Sm
1.0
3.505 0.000 0.000
0.000 6.033 0.000
-1.753 -3.016 9.926
La Tb Sm
3 2 1
direct
0.000 0.500 0.000
0.811 0.811 0.622
0.189 0.189 0.378
0.637 0.637 0.273
0.363 0.363 0.727
0.000 0.000 0.000
```

## Properties
* DFT total energy: -4.495 eV/atom
* size of the total moment: 0.00 μB/f.u.
* relative energy among the computed polymorphs: 0 meV/atom
* D(E_F): 10.6 states/eV per cell

Number 1: ΔE_f 11.8 kJ per mole of atoms. Number 2: ΔE_f 2.8 kJ per mole of atoms. Number 3: ΔE_f 6.2 kJ per mole of atoms. Number 4: ΔE_f 2.2 kJ per mole of atoms. Number 5: ΔE_f 25.1 kJ per mole of atoms. Number 6: ΔE_f 28.8 kJ per mole of atoms.